Entry 1:
Sr3MgGa3, optimized geometry, DFT GGA-PBE; excess energy over the best structure of this formula in the dataset = 0.000 eV/atom; space group = Cmcm, No. 63; energy of formation from the pure elements = -2.332 eV/f.u.
1.0
4.7343 0.0000 0.0000
-2.3672 5.8941 0.0000
0.0000 0.0000 15.0812
Sr Mg Ga
6 2 6
direct
0.2166 0.4332 0.8941
0.7834 0.5668 0.1059
0.2166 0.4332 0.6059
0.7834 0.5668 0.3941
0.5009 0.0019 0.7500
0.4991 0.9981 0.2500
0.5000 0.0000 0.0000
0.5000 0.0000 0.5000
0.9224 0.8449 0.9051
0.0776 0.1551 0.0949
0.9224 0.8449 0.5949
0.0776 0.1551 0.4051
0.7985 0.5970 0.7500
0.2015 0.4030 0.2500

=====

Entry 2:
SrMgGa2, optimized geometry, DFT GGA-PBE; space group = R-3m, No. 166; energy of formation from the pure elements = -1.255 eV/f.u.
1.0
4.6369 0.0000 0.0000
2.3185 4.0157 0.0000
2.3185 1.3386 5.5341
Sr Mg Ga
1 1 2
direct
0.5000 0.5000 0.5000
0.0000 0.0000 0.0000
0.2870 0.2870 0.1390
0.7130 0.7130 0.8610

=====

Entry 3:
Sr3Mg3Ga8, optimized geometry, DFT GGA-PBE; space group = Immm, No. 71; energy of formation from the pure elements = -5.382 eV/f.u.
1.0
-1.6505 -3.4461 2.4570
0.7782 -7.1055 -5.2436
7.1074 -4.8026 2.2379
Sr Mg Ga
3 3 8
direct
0.5000 0.5000 0.5000
0.7995 0.2005 0.2005
0.2005 0.7995 0.7995
0.5000 0.0000 0.0000
0.0000 0.7948 0.2052
0.0000 0.2052 0.7948
0.6473 0.0778 0.6276
0.3527 0.9222 0.3724
0.6473 0.6276 0.0778
0.3527 0.3724 0.9222
0.8356 0.7972 0.5317
0.1644 0.2028 0.4683
0.8356 0.5317 0.7972
0.1644 0.4683 0.2028

=====

Entry 4:
SrMgGa, optimized geometry, DFT GGA-PBE; space group = Imm2, No. 44; energy of formation from the pure elements = -0.582 eV/f.u.
1.0
-1.2106 0.8544 -4.7742
-6.7149 -2.6919 1.2209
1.5651 7.7279 3.6032
Sr Mg Ga
3 3 3
direct
0.6501 0.2966 0.3002
0.3499 0.9964 0.6998
0.0000 0.7595 0.0000
0.0000 0.2689 0.0000
0.3168 0.4541 0.6336
0.6832 0.8205 0.3664
0.5000 0.4809 0.0000
0.8311 0.2616 0.6622
0.1689 0.5994 0.3378

=====

Entry 5:
SrMgGa3, optimized geometry, DFT GGA-PBE; space group = Cmcm, No. 63; energy of formation from the pure elements = -1.729 eV/f.u.
1.0
-1.6216 2.4452 -3.1515
1.9445 -2.6377 -3.0471
-11.1124 -5.8015 1.2164
Sr Mg Ga
2 2 6
direct
0.2500 0.0789 0.1577
0.7500 0.9211 0.8423
0.2500 0.7949 0.5899
0.7500 0.2051 0.4101
0.2500 0.3709 0.7418
0.7500 0.6291 0.2582
0.2500 0.4740 0.9481
0.7500 0.5260 0.0519
0.7500 0.3154 0.6308
0.2500 0.6846 0.3692

=====

Entry 6:
Sr2MgGa, optimized geometry, DFT GGA-PBE; space group = P4/mmm, No. 123; energy of formation from the pure elements = -0.888 eV/f.u.
1.0
-0.3057 -3.5477 -1.7922
2.9819 0.9838 -2.4560
5.4680 -3.1813 5.3647
Sr Mg Ga
2 1 1
direct
0.0000 0.0000 0.7757
0.0000 0.0000 0.2243
0.5000 0.5000 0.5000
0.5000 0.5000 0.0000

=====

Entry 7:
Sr5Mg4Ga4, optimized geometry, DFT GGA-PBE; space group = I4/m, No. 87; energy of formation from the pure elements = -3.655 eV/f.u.
1.0
-2.0028 -0.7489 -4.1787
1.1043 -9.1302 -1.5294
-8.8853 -2.0101 1.9824
Sr Mg Ga
5 4 4
direct
0.7066 0.9289 0.6579
0.2934 0.0711 0.3421
0.0000 0.0000 0.0000
0.6355 0.6579 0.0711
0.3645 0.3421 0.9289
0.8952 0.5320 0.6777
0.5729 0.3223 0.5320
0.1048 0.4680 0.3223
0.4271 0.6777 0.4680
0.7368 0.3138 0.2126
0.2632 0.6862 0.7874
0.9494 0.7874 0.3138
0.0506 0.2126 0.6862

=====

Entry 8:
Sr2Mg5Ga4, optimized geometry, DFT GGA-PBE; space group = Fmmm, No. 69; energy of formation from the pure elements = -2.195 eV/f.u.
1.0
-2.7596 5.2407 2.3367
-1.6551 0.1875 6.2997
5.5998 5.5165 2.9158
Sr Mg Ga
2 5 4
direct
0.8546 0.0000 0.2908
0.1454 0.0000 0.7092
0.5000 0.0000 0.0000
0.0000 0.5000 0.0000
0.5000 0.5000 0.0000
0.2500 0.5000 0.5000
0.7500 0.5000 0.5000
0.5259 0.2384 0.7098
0.4741 0.7616 0.2902
0.2357 0.2384 0.2902
0.7643 0.7616 0.7098

=====

energy of formation from the pure elements of number 4 (SrMgGa)?
-0.582 eV/f.u.